VASP calculation (PBEsol) on a relaxed structure of CsTi3Fe.

Properties
For the uncorrected energy, the calculation gives -4.658 eV per atom. As for the space group: Pm-3m. The calculation puts the size of the total moment at 1.5 μB/cell.

Lattice parameters (Å, degrees): 4.8450 4.8450 4.8450 90.00 90.00 90.00
Fractional coordinates of all 5 atoms:
Cs 0.0000 0.0000 0.0000
Ti 0.0000 0.0000 0.5000
Ti 0.0000 0.5000 0.0000
Ti 0.5000 0.0000 0.0000
Fe 0.5000 0.5000 0.5000